(1)
An optimized crystal structure of Co4PPt, computed with PBE-GGA.

Cell: 4.7470 4.7470 4.7470 Å, 60.00 60.00 60.00°
Last column: nearest neighbours and their distance in Å.
Positions (direct):
Co  0.8758  0.3747  0.3747  6 Co 2.37-2.38
Co  0.3747  0.8758  0.3747  6 Co 2.37-2.38
Co  0.3747  0.3747  0.3747  6 Co 2.37-2.38
P  0.7500  0.7500  0.7500  12 Co 2.78, 4 Pt 2.91
Pt  0.0000  0.0000  0.0000  12 Co 2.78, 4 P 2.91
Co  0.3747  0.3747  0.8758  6 Co 2.37-2.38

Formation energy ... 1.8 eV/f.u.
Magnetization ... 7.75 μB per formula unit
N(E_F) ... 9.1 states/eV per cell


(2)
An optimized crystal structure of Co2P2Pt, computed with PBE-GGA.

Cell: 6.5136 6.5136 2.8179 Å, 90.00 90.00 90.00°
Last column: nearest neighbours and their distance in Å.
Positions (direct):
P  0.1479  0.3521  0.0000  6 Co 2.33-2.44, 2 Pt 2.49
P  0.6479  0.1479  0.0000  6 Co 2.33-2.44, 2 Pt 2.49
Pt  0.0000  0.0000  0.0000  4 P 2.49
Pt  0.5000  0.5000  0.0000  4 P 2.49
P  0.8521  0.6479  0.0000  6 Co 2.33-2.44, 2 Pt 2.49
Co  0.6361  0.8639  0.5000  6 P 2.33-2.44, 1 Co 2.51
Co  0.1361  0.6361  0.5000  6 P 2.33-2.44, 1 Co 2.51
P  0.3521  0.8521  0.0000  6 Co 2.33-2.44, 2 Pt 2.49
Co  0.8639  0.3639  0.5000  6 P 2.33-2.44, 1 Co 2.51
Co  0.3639  0.1361  0.5000  6 P 2.33-2.44, 1 Co 2.51

Formation energy ... -1.4 eV/f.u.
Magnetization ... 0.00 μB per formula unit
N(E_F) ... 1.8 states/eV per cell


(3)
An optimized crystal structure of CoPPt, computed with PBE-GGA.

Cell: 5.3918 6.9125 4.4030 Å, 90.00 90.00 90.00°
Last column: nearest neighbours and their distance in Å.
Positions (direct):
Pt  0.3989  0.9044  0.7500  1 P 2.26
Co  0.5777  0.6992  0.2500  4 P 2.14-2.31
P  0.0477  0.4016  0.7500  4 Co 2.14-2.31, 1 Pt 2.26
Pt  0.1011  0.9044  0.2500  1 P 2.26
Co  0.4223  0.3008  0.7500  4 P 2.14-2.31
P  0.5477  0.5984  0.7500  4 Co 2.14-2.31, 1 Pt 2.26
P  0.9523  0.5984  0.2500  4 Co 2.14-2.31, 1 Pt 2.26
Pt  0.6011  0.0956  0.2500  1 P 2.26
Co  0.0777  0.3008  0.2500  4 P 2.14-2.31
Pt  0.8989  0.0956  0.7500  1 P 2.26
P  0.4523  0.4016  0.2500  4 Co 2.14-2.31, 1 Pt 2.26
Co  0.9223  0.6992  0.7500  4 P 2.14-2.31

Formation energy ... -0.8 eV/f.u.
Magnetization ... 0.00 μB per formula unit
N(E_F) ... 6.6 states/eV per cell


(4)
An optimized crystal structure of CoPPt, computed with PBE-GGA.

Cell: 3.8649 3.8649 3.8649 Å, 60.00 60.00 60.00°
Last column: nearest neighbours and their distance in Å.
Positions (direct):
Pt  0.0000  0.0000  0.0000  4 P 2.37
Co  0.5000  0.5000  0.5000  4 P 2.37
P  0.7500  0.7500  0.7500  4 Co 2.37, 4 Pt 2.37

Formation energy ... -1.2 eV/f.u.
Magnetization ... 0.11 μB per formula unit
N(E_F) ... 2.0 states/eV per cell


(5)
An optimized crystal structure of CoP4Pt, computed with PBE-GGA.

Cell: 4.9540 4.9540 4.9540 Å, 60.00 60.00 60.00°
Last column: nearest neighbours and their distance in Å.
Positions (direct):
Co  0.0000  0.0000  0.0000  12 P 2.90, 4 Pt 3.03
P  0.8833  0.3722  0.3722  6 P 2.42-2.53
P  0.3722  0.3722  0.3722  6 P 2.42-2.53
P  0.3722  0.8833  0.3722  6 P 2.42-2.53
P  0.3722  0.3722  0.8833  6 P 2.42-2.53
Pt  0.7500  0.7500  0.7500  12 P 2.91, 4 Co 3.03

Formation energy ... 4.6 eV/f.u.
Magnetization ... 1.89 μB per formula unit
N(E_F) ... 4.3 states/eV per cell


(6)
An optimized crystal structure of CoPPt, computed with PBE-GGA.

Cell: 3.9704 3.9704 3.9704 Å, 60.00 60.00 60.00°
Last column: nearest neighbours and their distance in Å.
Positions (direct):
Co  0.7500  0.7500  0.7500  4 P 2.43, 4 Pt 2.43
P  0.0000  0.0000  0.0000  4 Co 2.43
Pt  0.5000  0.5000  0.5000  4 Co 2.43

Formation energy ... 0.2 eV/f.u.
Magnetization ... 1.25 μB per formula unit
N(E_F) ... 3.8 states/eV per cell


(7)
An optimized crystal structure of CoPPt, computed with PBE-GGA.

Cell: 3.6588 3.6588 3.4334 Å, 90.00 90.00 120.00°
Last column: nearest neighbours and their distance in Å.
Positions (direct):
P  0.6667  0.3333  0.2560  3 Co 2.16
Pt  0.3333  0.6667  0.6249  3 P 2.46, 6 Co 2.71-2.73
Co  0.0000  0.0000  0.1190  3 P 2.16

Formation energy ... -0.9 eV/f.u.
Magnetization ... 0.00 μB per formula unit
N(E_F) ... 0.9 states/eV per cell


(8)
An optimized crystal structure of CoPPt, computed with PBE-GGA.

Cell: 2.8641 2.8641 5.5780 Å, 90.00 90.00 120.00°
Last column: nearest neighbours and their distance in Å.
Positions (direct):
Co  0.0000  0.0000  0.0433  3 P 2.20
Pt  0.3333  0.6667  0.6523  3 P 2.55, 3 Co 2.74
P  0.6667  0.3333  0.3043  3 Co 2.20

Formation energy ... -0.3 eV/f.u.
Magnetization ... 0.55 μB per formula unit
N(E_F) ... 2.9 states/eV per cell


(9)
An optimized crystal structure of CoP6Pt, computed with PBE-GGA.

Cell: 5.7900 5.7900 5.7900 Å, 57.21 57.21 57.21°
Last column: nearest neighbours and their distance in Å.
Positions (direct):
P  0.5326  0.1999  0.9451  1 P 2.24, 1 Co 2.24, 1 Pt 2.43
P  0.4674  0.8001  0.0549  1 P 2.24, 1 Co 2.24, 1 Pt 2.43
P  0.1999  0.9451  0.5326  1 P 2.24, 1 Co 2.24, 1 Pt 2.43
P  0.8001  0.0549  0.4674  1 P 2.24, 1 Co 2.24, 1 Pt 2.43
Pt  0.0000  0.0000  0.0000  6 P 2.43
Co  0.5000  0.5000  0.5000  6 P 2.24
P  0.0549  0.4674  0.8001  1 P 2.24, 1 Co 2.24, 1 Pt 2.43
P  0.9451  0.5326  0.1999  1 P 2.24, 1 Co 2.24, 1 Pt 2.43

Formation energy ... -0.7 eV/f.u.
Magnetization ... 0.00 μB per formula unit
N(E_F) ... 3.7 states/eV per cell


(10)
An optimized crystal structure of CoPPt4, computed with PBE-GGA.

Cell: 5.2287 5.2287 5.2287 Å, 60.00 60.00 60.00°
Last column: nearest neighbours and their distance in Å.
Positions (direct):
Co  0.7500  0.7500  0.7500  12 Pt 3.07, 4 P 3.20
Pt  0.3751  0.3751  0.8746  6 Pt 2.61-2.62
Pt  0.3751  0.8746  0.3751  6 Pt 2.61-2.62
Pt  0.3751  0.3751  0.3751  6 Pt 2.61-2.62
P  0.0000  0.0000  0.0000  12 Pt 3.07, 4 Co 3.20
Pt  0.8746  0.3751  0.3751  6 Pt 2.61-2.62

Formation energy ... 3.2 eV/f.u.
Magnetization ... 2.17 μB per formula unit
N(E_F) ... 11.1 states/eV per cell


(11)
An optimized crystal structure of CoP3Pt, computed with PBE-GGA.

Cell: 4.2872 4.2872 4.2872 Å, 90.00 90.00 90.00°
Last column: nearest neighbours and their distance in Å.
Positions (direct):
P  0.0000  0.0000  0.5000  2 Co 2.14
Co  0.0000  0.0000  0.0000  6 P 2.14
Pt  0.5000  0.5000  0.5000  12 P 3.03
P  0.0000  0.5000  0.0000  2 Co 2.14
P  0.5000  0.0000  0.0000  2 Co 2.14

Formation energy ... 2.7 eV/f.u.
Magnetization ... 0.00 μB per formula unit
E above lowest polymorph ... 0 meV/atom
N(E_F) ... 3.2 states/eV per cell


(12)
An optimized crystal structure of CoPPtS2, computed with PBE-GGA.

Cell: 4.4242 4.4242 4.1706 Å, 90.00 90.00 90.00°
Last column: nearest neighbours and their distance in Å.
Positions (direct):
S  0.5000  0.0000  0.0000  2 Co 2.21
S  0.0000  0.5000  0.0000  2 Co 2.21
Pt  0.5000  0.5000  0.5000  8 S 3.04, 4 P 3.13
Co  0.0000  0.0000  0.0000  2 P 2.09, 4 S 2.21
P  0.0000  0.0000  0.5000  2 Co 2.09

Magnetization ... 0.00 μB per formula unit
E above lowest polymorph ... 0 meV/atom
E_form (uncorrected) ... 0.68 eV/atom
N(E_F) ... 4.5 states/eV per cell


(13)
An optimized crystal structure of CoP2PtS, computed with PBE-GGA.

Cell: 4.1980 4.1980 4.5856 Å, 90.00 90.00 90.00°
Last column: nearest neighbours and their distance in Å.
Positions (direct):
S  0.0000  0.0000  0.5000  2 Co 2.29
Co  0.0000  0.0000  0.0000  4 P 2.10, 2 S 2.29
P  0.0000  0.5000  0.0000  2 Co 2.10
P  0.5000  0.0000  0.0000  2 Co 2.10
Pt  0.5000  0.5000  0.5000  4 S 2.97, 8 P 3.11

Magnetization ... 0.00 μB per formula unit
E above lowest polymorph ... 0 meV/atom
E_form (uncorrected) ... 0.60 eV/atom
N(E_F) ... 3.2 states/eV per cell